# 1
Cd2Bi: relaxed, GGA-PBE.

Cell and atoms, written as CIF:
```
data_Cd2Bi
_chemical_formula_sum 'Cd8 Bi4'
_space_group_name_H-M_alt 'P n m a'
_space_group_IT_number 62
_cell_length_a 7.051
_cell_length_b 4.384
_cell_length_c 10.380
_cell_angle_alpha 90.00
_cell_angle_beta 90.00
_cell_angle_gamma 90.00
loop_
_space_group_symop_operation_xyz
'x,y,z'
'-x,-y,-z'
'-x+1/2,-y,z+1/2'
'x+1/2,y,-z+1/2'
'x+1/2,-y+1/2,-z+1/2'
'-x+1/2,y+1/2,z+1/2'
'-x,y+1/2,-z'
'x,-y+1/2,z'
loop_
_atom_site_label
_atom_site_type_symbol
_atom_site_fract_x
_atom_site_fract_y
_atom_site_fract_z
Cd1 Cd 0.117 0.250 0.099
Cd2 Cd 0.124 0.250 0.743
Bi1 Bi 0.165 0.250 0.426
```

Results
The value obtained for the electronic total energy is -22.065 eV/cell. The value obtained for the formation energy is 0.07 eV/atom.


# 2
Cd6Bi: relaxed, GGA-PBE.

Cell and atoms, written as CIF:
```
data_Cd6Bi
_chemical_formula_sum 'Cd12 Bi2'
_space_group_name_H-M_alt 'I m -3 m'
_space_group_IT_number 229
_space_group_name_Hall '-I 4 2 3'
_cell_length_a 7.909
_cell_length_b 7.909
_cell_length_c 7.909
_cell_angle_alpha 90.00
_cell_angle_beta 90.00
_cell_angle_gamma 90.00
loop_
_atom_site_label
_atom_site_type_symbol
_atom_site_fract_x
_atom_site_fract_y
_atom_site_fract_z
Cd1 Cd 0.000 0.250 0.500
Bi1 Bi 0.000 0.000 0.000
```

Results
The value obtained for the electronic total energy is -11.936 eV/cell. The value obtained for the formation energy is 0.49 eV/atom.


# 3
CdBi3: relaxed, GGA-PBE.

Cell and atoms, written as CIF:
```
data_CdBi3
_chemical_formula_sum 'Cd4 Bi12'
_space_group_name_H-M_alt 'F m -3 m'
_space_group_IT_number 225
_space_group_name_Hall '-F 4 2 3'
_cell_length_a 7.833
_cell_length_b 7.833
_cell_length_c 7.833
_cell_angle_alpha 90.00
_cell_angle_beta 90.00
_cell_angle_gamma 90.00
loop_
_atom_site_label
_atom_site_type_symbol
_atom_site_fract_x
_atom_site_fract_y
_atom_site_fract_z
Cd1 Cd 0.000 0.000 0.000
Bi1 Bi 0.000 0.000 0.500
Bi2 Bi 0.250 0.250 0.250
```

Results
The value obtained for the electronic total energy is -48.501 eV/cell. The value obtained for the formation energy is 0.11 eV/atom. The calculation puts the energy relative to the lowest polymorph listed for this composition at 0.06 eV/f.u.


# 4
Cd13Bi2: relaxed, GGA-PBE.

Cell and atoms, written as CIF:
```
data_Cd13Bi2
_chemical_formula_sum 'Cd39 Bi6'
_space_group_name_H-M_alt 'R -3 m'
_space_group_IT_number 166
_space_group_name_Hall '-R 3 2"'
_cell_length_a 8.3089
_cell_length_b 8.3089
_cell_length_c 22.0463
_cell_angle_alpha 90.00
_cell_angle_beta 90.00
_cell_angle_gamma 120.00
loop_
_atom_site_label
_atom_site_type_symbol
_atom_site_fract_x
_atom_site_fract_y
_atom_site_fract_z
Cd1 Cd 0.0000 0.0000 0.0000
Cd2 Cd 0.0838 0.5419 0.5606
Cd3 Cd 0.0965 0.5483 0.2949
Bi1 Bi 0.0000 0.0000 0.2301
```

Results
The value obtained for the electronic total energy is -53.420 eV/cell. The value obtained for the formation energy is 0.12 eV/atom.


# 5
CdBi3: relaxed, GGA-PBE.

Cell and atoms, written as CIF:
```
data_CdBi3
_chemical_formula_sum 'Cd1 Bi3'
_space_group_name_H-M_alt 'P m m 2'
_space_group_IT_number 25
_cell_length_a 4.290
_cell_length_b 6.345
_cell_length_c 4.883
_cell_angle_alpha 90.00
_cell_angle_beta 90.00
_cell_angle_gamma 90.00
loop_
_space_group_symop_operation_xyz
'x,y,z'
'-x,-y,z'
'-x,y,z'
'x,-y,z'
loop_
_atom_site_label
_atom_site_type_symbol
_atom_site_fract_x
_atom_site_fract_y
_atom_site_fract_z
Cd1 Cd 0.000 0.000 0.000
Bi1 Bi 0.000 0.500 0.033
Bi2 Bi 0.500 0.000 0.511
Bi3 Bi 0.500 0.500 0.478
```

Results
The value obtained for the electronic total energy is -12.185 eV/cell. The value obtained for the formation energy is 0.09 eV/atom. The calculation puts the energy relative to the lowest polymorph listed for this composition at 0.00 eV/f.u.


# 6
CdBi4: relaxed, GGA-PBE.

Cell and atoms, written as CIF:
```
data_CdBi4
_chemical_formula_sum 'Cd1 Bi4'
_space_group_name_H-M_alt 'P m -3 m'
_space_group_IT_number 221
_space_group_name_Hall '-P 4 2 3'
_cell_length_a 5.653
_cell_length_b 5.653
_cell_length_c 5.653
_cell_angle_alpha 90.00
_cell_angle_beta 90.00
_cell_angle_gamma 90.00
loop_
_atom_site_label
_atom_site_type_symbol
_atom_site_fract_x
_atom_site_fract_y
_atom_site_fract_z
Cd1 Cd 0.000 0.000 0.000
Bi1 Bi 0.000 0.000 0.500
Bi2 Bi 0.500 0.500 0.500
```

Results
The value obtained for the electronic total energy is -13.377 eV/cell. The value obtained for the formation energy is 0.61 eV/atom.


# 7
Cd17Bi2: relaxed, GGA-PBE.

Cell and atoms, written as CIF:
```
data_Cd17Bi2
_chemical_formula_sum 'Cd51 Bi6'
_space_group_name_H-M_alt 'R -3 m'
_space_group_IT_number 166
_space_group_name_Hall '-R 3 2"'
_cell_length_a 10.3139
_cell_length_b 10.3139
_cell_length_c 15.4664
_cell_angle_alpha 90.00
_cell_angle_beta 90.00
_cell_angle_gamma 120.00
loop_
_atom_site_label
_atom_site_type_symbol
_atom_site_fract_x
_atom_site_fract_y
_atom_site_fract_z
Cd1 Cd 0.0000 0.0000 0.0996
Cd2 Cd 0.0000 0.2963 0.0000
Cd3 Cd 0.0000 0.5000 0.5000
Cd4 Cd 0.0130 0.5065 0.8607
Bi1 Bi 0.0000 0.0000 0.3999
```

Results
The value obtained for the electronic total energy is -66.307 eV/cell. The value obtained for the formation energy is 0.06 eV/atom.


# 8
Cd7Bi: relaxed, GGA-PBE.

Cell and atoms, written as CIF:
```
data_Cd7Bi
_chemical_formula_sum 'Cd14 Bi2'
_space_group_name_H-M_alt 'C 1 2/m 1'
_space_group_IT_number 12
_cell_length_a 12.241
_cell_length_b 9.143
_cell_length_c 3.488
_cell_angle_alpha 90.00
_cell_angle_beta 90.32
_cell_angle_gamma 90.00
loop_
_space_group_symop_operation_xyz
'x,y,z'
'-x,-y,-z'
'-x,y,-z'
'x,-y,z'
'x+1/2,y+1/2,z'
'-x+1/2,-y+1/2,-z'
'-x+1/2,y+1/2,-z'
'x+1/2,-y+1/2,z'
loop_
_atom_site_label
_atom_site_type_symbol
_atom_site_fract_x
_atom_site_fract_y
_atom_site_fract_z
Cd1 Cd 0.000 0.000 0.000
Cd2 Cd 0.127 0.236 0.499
Cd3 Cd 0.245 0.000 0.002
Bi1 Bi 0.000 0.500 0.000
```

Results
The value obtained for the electronic total energy is -20.097 eV/cell. The value obtained for the formation energy is 0.03 eV/atom. The calculation puts the energy relative to the lowest polymorph listed for this composition at 0.00 eV/f.u.


# 9
CdBi3: relaxed, GGA-PBE.

Cell and atoms, written as CIF:
```
data_CdBi3
_chemical_formula_sum 'Cd1 Bi3'
_space_group_name_H-M_alt 'P m -3 m'
_space_group_IT_number 221
_space_group_name_Hall '-P 4 2 3'
_cell_length_a 4.947
_cell_length_b 4.947
_cell_length_c 4.947
_cell_angle_alpha 90.00
_cell_angle_beta 90.00
_cell_angle_gamma 90.00
loop_
_atom_site_label
_atom_site_type_symbol
_atom_site_fract_x
_atom_site_fract_y
_atom_site_fract_z
Cd1 Cd 0.000 0.000 0.000
Bi1 Bi 0.000 0.500 0.500
```

Results
The value obtained for the electronic total energy is -12.147 eV/cell. The value obtained for the formation energy is 0.10 eV/atom. The calculation puts the energy relative to the lowest polymorph listed for this composition at 0.04 eV/f.u.


# 10
Cd4Bi: relaxed, GGA-PBE.

Cell and atoms, written as CIF:
```
data_Cd4Bi
_chemical_formula_sum 'Cd8 Bi2'
_space_group_name_H-M_alt 'P m n a'
_space_group_IT_number 53
_cell_length_a 5.861
_cell_length_b 8.654
_cell_length_c 5.223
_cell_angle_alpha 90.00
_cell_angle_beta 90.00
_cell_angle_gamma 90.00
loop_
_space_group_symop_operation_xyz
'x,y,z'
'-x,-y,-z'
'-x+1/2,-y,z+1/2'
'x+1/2,y,-z+1/2'
'x,-y,-z'
'-x,y,z'
'-x+1/2,y,-z+1/2'
'x+1/2,-y,z+1/2'
loop_
_atom_site_label
_atom_site_type_symbol
_atom_site_fract_x
_atom_site_fract_y
_atom_site_fract_z
Cd1 Cd 0.000 0.144 0.242
Cd2 Cd 0.250 0.199 0.750
Bi1 Bi 0.000 0.500 0.500
```

Results
The value obtained for the electronic total energy is -14.060 eV/cell. The value obtained for the formation energy is 0.10 eV/atom. The calculation puts the energy relative to the lowest polymorph listed for this composition at 0.00 eV/f.u.


# 11
CdBi3: relaxed, GGA-PBE.

Cell and atoms, written as CIF:
```
data_CdBi3
_chemical_formula_sum 'Cd2 Bi6'
_space_group_name_H-M_alt 'I m m 2'
_space_group_IT_number 44
_cell_length_a 3.338
_cell_length_b 11.633
_cell_length_c 6.302
_cell_angle_alpha 90.00
_cell_angle_beta 90.00
_cell_angle_gamma 90.00
loop_
_space_group_symop_operation_xyz
'x,y,z'
'-x,-y,z'
'-x,y,z'
'x,-y,z'
'x+1/2,y+1/2,z+1/2'
'-x+1/2,-y+1/2,z+1/2'
'-x+1/2,y+1/2,z+1/2'
'x+1/2,-y+1/2,z+1/2'
loop_
_atom_site_label
_atom_site_type_symbol
_atom_site_fract_x
_atom_site_fract_y
_atom_site_fract_z
Cd1 Cd 0.000 0.000 0.000
Bi1 Bi 0.000 0.287 0.724
Bi2 Bi 0.000 0.500 0.049
```

Results
The value obtained for the electronic total energy is -24.341 eV/cell. The value obtained for the formation energy is 0.10 eV/atom. The calculation puts the energy relative to the lowest polymorph listed for this composition at 0.01 eV/f.u.


# 12
Cd3Bi: relaxed, GGA-PBE.

Cell and atoms, written as CIF:
```
data_Cd3Bi
_chemical_formula_sum 'Cd3 Bi1'
_space_group_name_H-M_alt 'P 4 m m'
_space_group_IT_number 99
_cell_length_a 4.444
_cell_length_b 4.444
_cell_length_c 5.282
_cell_angle_alpha 90.00
_cell_angle_beta 90.00
_cell_angle_gamma 90.00
loop_
_space_group_symop_operation_xyz
'x,y,z'
'-y,x,z'
'-x,-y,z'
'y,-x,z'
'-x,y,z'
'y,x,z'
'x,-y,z'
'-y,-x,z'
loop_
_atom_site_label
_atom_site_type_symbol
_atom_site_fract_x
_atom_site_fract_y
_atom_site_fract_z
Cd1 Cd 0.000 0.000 0.000
Cd2 Cd 0.000 0.500 0.590
Bi1 Bi 0.500 0.500 0.147
```

Results
The value obtained for the electronic total energy is -6.338 eV/cell. The value obtained for the formation energy is 0.07 eV/atom.


# 13
Cd2Bi: relaxed, GGA-PBE.

Cell and atoms, written as CIF:
```
data_Cd2Bi
_chemical_formula_sum 'Cd6 Bi3'
_space_group_name_H-M_alt 'P -3 1 m'
_space_group_IT_number 162
_space_group_name_Hall '-P 3 2'
_cell_length_a 8.1852
_cell_length_b 8.1852
_cell_length_c 4.8890
_cell_angle_alpha 90.00
_cell_angle_beta 90.00
_cell_angle_gamma 120.00
loop_
_atom_site_label
_atom_site_type_symbol
_atom_site_fract_x
_atom_site_fract_y
_atom_site_fract_z
Cd1 Cd 0.0000 0.3508 0.1900
Bi1 Bi 0.0000 0.0000 0.0000
Bi2 Bi 0.3333 0.6667 0.5000
```

Results
The value obtained for the electronic total energy is -15.963 eV/cell. The value obtained for the formation energy is 0.13 eV/atom.


# 14
CdBi3: relaxed, GGA-PBE.

Cell and atoms, written as CIF:
```
data_CdBi3
_chemical_formula_sum 'Cd2 Bi6'
_space_group_name_H-M_alt 'I 4/m m m'
_space_group_IT_number 139
_space_group_name_Hall '-I 4 2'
_cell_length_a 4.965
_cell_length_b 4.965
_cell_length_c 9.837
_cell_angle_alpha 90.00
_cell_angle_beta 90.00
_cell_angle_gamma 90.00
loop_
_atom_site_label
_atom_site_type_symbol
_atom_site_fract_x
_atom_site_fract_y
_atom_site_fract_z
Cd1 Cd 0.000 0.000 0.000
Bi1 Bi 0.000 0.000 0.500
Bi2 Bi 0.000 0.500 0.250
```

Results
The value obtained for the electronic total energy is -24.250 eV/cell. The value obtained for the formation energy is 0.11 eV/atom. The calculation puts the energy relative to the lowest polymorph listed for this composition at 0.06 eV/f.u.


# 15
Cd7Bi: relaxed, GGA-PBE.

Cell and atoms, written as CIF:
```
data_Cd7Bi
_chemical_formula_sum 'Cd28 Bi4'
_space_group_name_H-M_alt 'F m -3 m'
_space_group_IT_number 225
_space_group_name_Hall '-F 4 2 3'
_cell_length_a 9.153
_cell_length_b 9.153
_cell_length_c 9.153
_cell_angle_alpha 90.00
_cell_angle_beta 90.00
_cell_angle_gamma 90.00
loop_
_atom_site_label
_atom_site_type_symbol
_atom_site_fract_x
_atom_site_fract_y
_atom_site_fract_z
Cd1 Cd 0.000 0.000 0.000
Cd2 Cd 0.000 0.250 0.250
Bi1 Bi 0.000 0.000 0.500
```

Results
The value obtained for the electronic total energy is -38.627 eV/cell. The value obtained for the formation energy is 0.08 eV/atom. The calculation puts the energy relative to the lowest polymorph listed for this composition at 0.39 eV/f.u.


# 16
Cd2Bi3: relaxed, GGA-PBE.

Cell and atoms, written as CIF:
```
data_Cd2Bi3
_chemical_formula_sum 'Cd12 Bi18'
_space_group_name_H-M_alt 'R -3 c'
_space_group_IT_number 167
_space_group_name_Hall '-R 3 2"c'
_cell_length_a 8.7964
_cell_length_b 8.7964
_cell_length_c 13.3087
_cell_angle_alpha 90.00
_cell_angle_beta 90.00
_cell_angle_gamma 120.00
loop_
_atom_site_label
_atom_site_type_symbol
_atom_site_fract_x
_atom_site_fract_y
_atom_site_fract_z
Cd1 Cd 0.0000 0.0000 0.1203
Bi1 Bi 0.0000 0.3119 0.2500
```

Results
The value obtained for the electronic total energy is -77.053 eV/cell. The value obtained for the formation energy is 0.13 eV/atom.


# 17
Cd3Bi: relaxed, GGA-PBE.

Cell and atoms, written as CIF:
```
data_Cd3Bi
_chemical_formula_sum 'Cd6 Bi2'
_space_group_name_H-M_alt 'I 4/m m m'
_space_group_IT_number 139
_space_group_name_Hall '-I 4 2'
_cell_length_a 4.683
_cell_length_b 4.683
_cell_length_c 9.342
_cell_angle_alpha 90.00
_cell_angle_beta 90.00
_cell_angle_gamma 90.00
loop_
_atom_site_label
_atom_site_type_symbol
_atom_site_fract_x
_atom_site_fract_y
_atom_site_fract_z
Cd1 Cd 0.000 0.000 0.000
Cd2 Cd 0.000 0.500 0.250
Bi1 Bi 0.000 0.000 0.500
```

Results
The value obtained for the electronic total energy is -12.797 eV/cell. The value obtained for the formation energy is 0.06 eV/atom.


# 18
Ce2CdBi: relaxed, GGA-PBE.

Cell and atoms, written as CIF:
```
data_Ce2CdBi
_chemical_formula_sum 'Ce2 Cd1 Bi1'
_space_group_name_H-M_alt 'P 4/m m m'
_space_group_IT_number 123
_space_group_name_Hall '-P 4 2'
_cell_length_a 5.070
_cell_length_b 5.070
_cell_length_c 4.490
_cell_angle_alpha 90.00
_cell_angle_beta 90.00
_cell_angle_gamma 90.00
loop_
_atom_site_label
_atom_site_type_symbol
_atom_site_fract_x
_atom_site_fract_y
_atom_site_fract_z
Ce1 Ce 0.000 0.500 0.000
Cd1 Cd 0.000 0.000 0.500
Bi1 Bi 0.500 0.500 0.500
```

Results
The value obtained for the electronic total energy is -18.286 eV/cell. The value obtained for the formation energy is -0.41 eV/atom. The calculation puts the energy relative to the lowest polymorph listed for this composition at 0.01 eV/f.u.


# 19
CeCdBi2: relaxed, GGA-PBE.

Cell and atoms, written as CIF:
```
data_CeCdBi2
_chemical_formula_sum 'Ce1 Cd1 Bi2'
_space_group_name_H-M_alt 'P 4/m m m'
_space_group_IT_number 123
_space_group_name_Hall '-P 4 2'
_cell_length_a 5.082
_cell_length_b 5.082
_cell_length_c 4.363
_cell_angle_alpha 90.00
_cell_angle_beta 90.00
_cell_angle_gamma 90.00
loop_
_atom_site_label
_atom_site_type_symbol
_atom_site_fract_x
_atom_site_fract_y
_atom_site_fract_z
Ce1 Ce 0.000 0.000 0.000
Cd1 Cd 0.500 0.500 0.000
Bi1 Bi 0.000 0.500 0.500
```

Results
The value obtained for the electronic total energy is -16.471 eV/cell. The value obtained for the formation energy is -0.46 eV/atom.


# 20
Ce6CdBi2: relaxed, GGA-PBE.

Cell and atoms, written as CIF:
```
data_Ce6CdBi2
_chemical_formula_sum 'Ce6 Cd1 Bi2'
_space_group_name_H-M_alt 'P 6/m m m'
_space_group_IT_number 191
_space_group_name_Hall '-P 6 2'
_cell_length_a 9.1555
_cell_length_b 9.1555
_cell_length_c 3.2732
_cell_angle_alpha 90.00
_cell_angle_beta 90.00
_cell_angle_gamma 120.00
loop_
_atom_site_label
_atom_site_type_symbol
_atom_site_fract_x
_atom_site_fract_y
_atom_site_fract_z
Ce1 Ce 0.0000 0.3209 0.0000
Cd1 Cd 0.0000 0.0000 0.5000
Bi1 Bi 0.3333 0.6667 0.5000
```

Results
The value obtained for the electronic total energy is -45.835 eV/cell. The value obtained for the formation energy is -0.17 eV/atom.